## Sr2In2Hg (PBE-GGA)

Data for a geometry-optimized Sr2In2Hg structure.

Geometry as CIF:
```
data_Sr2In2Hg
_chemical_formula_sum 'Sr4 In4 Hg2'
_cell_length_a 6.5516
_cell_length_b 6.5516
_cell_length_c 8.7868
_cell_angle_alpha 90.00
_cell_angle_beta 90.00
_cell_angle_gamma 90.00
_symmetry_space_group_name_H-M 'I 4/m m m'
_symmetry_Int_Tables_number 139
_symmetry_space_group_name_Hall '-I 4 2'
loop_
_atom_site_label
_atom_site_type_symbol
_atom_site_fract_x
_atom_site_fract_y
_atom_site_fract_z
Sr1 Sr 0.0000 0.5000 0.2500
In1 In 0.0000 0.0000 0.1579
Hg1 Hg 0.0000 0.0000 0.5000
```

spin magnetization	0.00	μB per atom
energy above the most stable polymorph in this dataset	0.291	eV/atom
raw total energy	-1.98	eV per atom


## SrInHg6 (PBE-GGA)

Data for a geometry-optimized SrInHg6 structure.

Geometry as CIF:
```
data_SrInHg6
_chemical_formula_sum 'Sr3 In3 Hg18'
_cell_length_a 6.2570
_cell_length_b 6.2570
_cell_length_c 25.7285
_cell_angle_alpha 90.00
_cell_angle_beta 90.00
_cell_angle_gamma 120.00
_symmetry_space_group_name_H-M 'R -3 m'
_symmetry_Int_Tables_number 166
_symmetry_space_group_name_Hall '-R 3 2"'
loop_
_atom_site_label
_atom_site_type_symbol
_atom_site_fract_x
_atom_site_fract_y
_atom_site_fract_z
Sr1 Sr 0.0000 0.0000 0.0000
In1 In 0.0000 0.0000 0.5000
Hg1 Hg 0.0061 0.5031 0.4400
```

spin magnetization	0.00	μB per atom
energy above the most stable polymorph in this dataset	0.151	eV/atom
raw total energy	-0.84	eV per atom


## Sr3In6Hg5 (PBE-GGA)

Data for a geometry-optimized Sr3In6Hg5 structure.

Geometry as CIF:
```
data_Sr3In6Hg5
_chemical_formula_sum 'Sr6 In12 Hg10'
_cell_length_a 5.0041
_cell_length_b 14.5586
_cell_length_c 10.7622
_cell_angle_alpha 90.00
_cell_angle_beta 90.00
_cell_angle_gamma 90.00
_symmetry_space_group_name_H-M 'P m m n'
_symmetry_Int_Tables_number 59
loop_
_symmetry_equiv_pos_as_xyz
'x,y,z'
'-x,-y,-z'
'-x+1/2,-y+1/2,z'
'x+1/2,y+1/2,-z'
'x+1/2,-y,-z'
'-x+1/2,y,z'
'-x,y+1/2,-z'
'x,-y+1/2,z'
loop_
_atom_site_label
_atom_site_type_symbol
_atom_site_fract_x
_atom_site_fract_y
_atom_site_fract_z
Sr1 Sr 0.2500 0.0452 0.2460
Sr2 Sr 0.2500 0.7500 0.2479
In1 In 0.2500 0.0957 0.8867
In2 In 0.2500 0.2500 0.0724
In3 In 0.2500 0.2500 0.4325
In4 In 0.2500 0.6054 0.5288
Hg1 Hg 0.2500 0.0933 0.6180
Hg2 Hg 0.2500 0.6028 0.9713
Hg3 Hg 0.2500 0.7500 0.7497
```

spin magnetization	0.00	μB per atom
raw total energy	-1.97	eV per atom


## Sr3InHg4 (PBE-GGA)

Data for a geometry-optimized Sr3InHg4 structure.

Geometry as CIF:
```
data_Sr3InHg4
_chemical_formula_sum 'Sr9 In3 Hg12'
_cell_length_a 5.4971
_cell_length_b 5.4971
_cell_length_c 27.7225
_cell_angle_alpha 90.00
_cell_angle_beta 90.00
_cell_angle_gamma 120.00
_symmetry_space_group_name_H-M 'R -3 m'
_symmetry_Int_Tables_number 166
_symmetry_space_group_name_Hall '-R 3 2"'
loop_
_atom_site_label
_atom_site_type_symbol
_atom_site_fract_x
_atom_site_fract_y
_atom_site_fract_z
Sr1 Sr 0.0000 0.0000 0.0000
Sr2 Sr 0.0000 0.0000 0.2420
In1 In 0.0000 0.0000 0.5000
Hg1 Hg 0.0000 0.0000 0.1224
Hg2 Hg 0.0000 0.0000 0.3730
```

spin magnetization	0.00	μB per atom
raw total energy	-1.59	eV per atom